Computed, not measured: a relaxed structure of Th2AlAg at the PBE level of DFT.

Fermi-level density of states: 3.90 states/eV/f.u.
energy of formation from the pure elements: -16 kJ per mole of atoms

Lattice parameters (Å, degrees): 4.6306 6.4225 7.2277 105.84 90.00 90.00
With the nearest neighbours (Å) after each atom.
Fractional positions:
Th 0.7500 0.2125 0.4319  3 Al 3.24-3.26, 3 Ag 3.26-3.29, 1 Th 3.57
Th 0.2500 0.7875 0.5681  3 Al 3.24-3.26, 3 Ag 3.26-3.29, 1 Th 3.57
Th 0.2500 0.8617 0.0955  3 Ag 3.12-3.41, 4 Al 3.20-3.35, 2 Th 3.43
Th 0.7500 0.1383 0.9045  3 Ag 3.12-3.41, 4 Al 3.20-3.35, 2 Th 3.43
Al 0.2500 0.3784 0.1890  2 Ag 2.77
Al 0.7500 0.6216 0.8110  2 Ag 2.77
Ag 0.7500 0.6251 0.2436  2 Al 2.77
Ag 0.2500 0.3749 0.7564  2 Al 2.77


Computed, not measured: a relaxed structure of HfHgBi2 at the PBE level of DFT.

Fermi-level density of states: 0.00 states/eV/f.u.
energy of formation from the pure elements: 34 kJ per mole of atoms

Lattice parameters (Å, degrees): 6.7610 6.7610 8.2898 65.93 65.93 90.00
With the nearest neighbours (Å) after each atom.
Fractional positions:
Hf 0.5000 0.5000 0.0000  4 Bi 2.88
Hf 0.2500 0.7500 0.5000  4 Bi 2.88
Bi 0.6113 0.1250 0.2500  2 Hf 2.88, 2 Hg 2.98
Bi 0.1387 0.6250 0.2500  2 Hf 2.88, 2 Hg 2.98
Bi 0.3750 0.3887 0.7500  2 Hf 2.88, 2 Hg 2.98
Bi 0.8750 0.8613 0.7500  2 Hf 2.88, 2 Hg 2.98
Hg 0.0000 0.0000 0.0000  4 Bi 2.98
Hg 0.7500 0.2500 0.5000  4 Bi 2.98


Computed, not measured: a relaxed structure of KTlAu2 at the PBE level of DFT.

Fermi-level density of states: 0.76 states/eV/f.u.
distance to the lowest polymorph of the same formula: 0.0924 eV per atom
energy of formation from the pure elements: -10 kJ per mole of atoms

Lattice parameters (Å, degrees): 3.8486 3.8833 8.3882 62.50 90.00 90.00
With the nearest neighbours (Å) after each atom.
Fractional positions:
Au 0.0000 0.0452 0.9541  1 Au 3.04, 4 Tl 3.12-3.13
Au 0.0000 0.4548 0.5459  1 Au 3.04, 4 Tl 3.12-3.13
K 0.5000 0.2500 0.2500  8 Au 3.51, 2 Tl 3.72, 4 K 3.85-3.88
Tl 0.5000 0.7500 0.7500  8 Au 3.12-3.13


Computed, not measured: a relaxed structure of CrInReP at the PBE level of DFT.

Fermi-level density of states: 2.00 states/eV/f.u.
distance to the lowest polymorph of the same formula: 0.1471 eV per atom
energy of formation from the pure elements: 16 kJ per mole of atoms

Lattice parameters (Å, degrees): 2.9798 2.9417 15.6157 90.00 90.00 90.00
With the nearest neighbours (Å) after each atom.
Fractional positions:
Cr 0.0000 0.0000 0.4265  4 Re 2.52, 4 In 2.81
Cr 0.0000 0.5000 0.9265  4 Re 2.52, 4 In 2.81
In 0.5000 0.0000 0.0468  1 P 2.64, 4 Cr 2.81, 2 In 2.94
In 0.5000 0.5000 0.5468  1 P 2.64, 4 Cr 2.81, 2 In 2.94
Re 0.5000 0.0000 0.8362  2 P 2.38, 4 Cr 2.52
Re 0.5000 0.5000 0.3362  2 P 2.38, 4 Cr 2.52
P 0.5000 0.0000 0.2161  2 Re 2.38, 1 In 2.64
P 0.5000 0.5000 0.7161  2 Re 2.38, 1 In 2.64


Computed, not measured: a relaxed structure of Li2YHo2Mg5 at the PBE level of DFT.

Fermi-level density of states: 7.21 states/eV/f.u.
energy of formation from the pure elements: -2 kJ per mole of atoms

Lattice parameters (Å, degrees): 4.4111 10.5373 10.5373 90.00 90.00 90.00
With the nearest neighbours (Å) after each atom.
Fractional positions:
Li 0.0000 0.1152 0.6152  6 Mg 2.80-2.90, 1 Ho 3.06
Li 0.0000 0.8848 0.3848  6 Mg 2.80-2.90, 1 Ho 3.06
Li 0.0000 0.6152 0.8848  6 Mg 2.80-2.90, 1 Ho 3.06
Li 0.0000 0.3848 0.1152  6 Mg 2.80-2.90, 1 Ho 3.06
Y 0.0000 0.0000 0.0000  8 Mg 3.23
Y 0.0000 0.5000 0.5000  8 Mg 3.23
Ho 0.0000 0.6794 0.1794  3 Li 3.06-3.18
Ho 0.0000 0.3206 0.8206  3 Li 3.06-3.18
Ho 0.0000 0.1794 0.3206  3 Li 3.06-3.18
Ho 0.0000 0.8206 0.6794  3 Li 3.06-3.18
Mg 0.5000 0.2140 0.0640  2 Li 2.90, 1 Mg 3.09, 2 Y 3.23
Mg 0.5000 0.7860 0.9360  2 Li 2.90, 1 Mg 3.09, 2 Y 3.23
Mg 0.5000 0.0640 0.7860  2 Li 2.90, 1 Mg 3.09, 2 Y 3.23
Mg 0.5000 0.7140 0.4360  2 Li 2.90, 1 Mg 3.09, 2 Y 3.23
Mg 0.5000 0.9360 0.2140  2 Li 2.90, 1 Mg 3.09, 2 Y 3.23
Mg 0.5000 0.2860 0.5640  2 Li 2.90, 1 Mg 3.09, 2 Y 3.23
Mg 0.5000 0.5640 0.7140  2 Li 2.90, 1 Mg 3.09, 2 Y 3.23
Mg 0.5000 0.4360 0.2860  2 Li 2.90, 1 Mg 3.09, 2 Y 3.23
Mg 0.5000 0.5000 0.0000  4 Li 2.80, 4 Mg 3.09
Mg 0.5000 0.0000 0.5000  4 Li 2.80, 4 Mg 3.09


Computed, not measured: a relaxed structure of HS2I at the PBE level of DFT.

Fermi-level density of states: 2.56 states/eV/f.u.
distance to the lowest polymorph of the same formula: 0.0000 eV per atom

Lattice parameters (Å, degrees): 4.7081 4.7081 4.7081 64.44 64.44 64.44
With the nearest neighbours (Å) after each atom.
Fractional positions:
I 0.5000 0.5000 0.5000  6 S 2.90
H 0.0000 0.0000 0.0000  2 S 1.67
S 0.8499 0.8499 0.8499  1 H 1.67
S 0.1501 0.1501 0.1501  1 H 1.67


Computed, not measured: a relaxed structure of AgPd2Au6 at the PBE level of DFT.

Fermi-level density of states: 3.28 states/eV/f.u.
distance to the lowest polymorph of the same formula: 0.0494 eV per atom
energy of formation from the pure elements: 6 kJ per mole of atoms

Lattice parameters (Å, degrees): 2.8213 5.5985 11.3196 104.32 97.44 90.00
With the nearest neighbours (Å) after each atom.
Fractional positions:
Ag 0.0000 0.0000 0.0000  2 Ag 2.82, 8 Au 2.88
Pd 0.2010 0.6899 0.3798  8 Au 2.77-2.86, 2 Pd 2.82
Pd 0.7990 0.3101 0.6202  8 Au 2.77-2.86, 2 Pd 2.82
Au 0.4021 0.6522 0.8088  6 Au 2.77-3.05, 2 Pd 2.84-2.86, 2 Ag 2.88
Au 0.1858 0.2001 0.4003  4 Pd 2.77-2.81, 6 Au 2.82-3.05
Au 0.4021 0.1566 0.8088  6 Au 2.77-3.05, 2 Pd 2.84-2.86, 2 Ag 2.88
Au 0.5979 0.3478 0.1912  6 Au 2.77-3.05, 2 Pd 2.84-2.86, 2 Ag 2.88
Au 0.8142 0.7999 0.5997  4 Pd 2.77-2.81, 6 Au 2.82-3.05
Au 0.5979 0.8434 0.1912  6 Au 2.77-3.05, 2 Pd 2.84-2.86, 2 Ag 2.88


Computed, not measured: a relaxed structure of Ga2AsF at the PBE level of DFT.

E_form (uncorrected): -0.672 eV/atom
Fermi-level density of states: 0.61 states/eV/f.u.
distance to the lowest polymorph of the same formula: 0.0000 eV per atom

Lattice parameters (Å, degrees): 4.5391 4.5391 4.5391 60.00 60.00 60.00
With the nearest neighbours (Å) after each atom.
Fractional positions:
As 0.5000 0.5000 0.5000  8 Ga 2.78
Ga 0.2500 0.2500 0.2500  4 F 2.78, 4 As 2.78
Ga 0.7500 0.7500 0.7500  4 F 2.78, 4 As 2.78
F 0.0000 0.0000 0.0000  8 Ga 2.78


Computed, not measured: a relaxed structure of TaAg2Se at the PBE level of DFT.

E_form (uncorrected): 0.312 eV/atom
Fermi-level density of states: 1.44 states/eV/f.u.

Lattice parameters (Å, degrees): 5.4901 5.4901 2.9516 90.00 90.00 122.88
With the nearest neighbours (Å) after each atom.
Fractional positions:
Ag 0.0000 0.0000 0.0000  2 Ag 2.62
Ag 0.5000 0.5000 0.0000  2 Ag 2.62
Se 0.5000 0.0000 0.5000  2 Ta 2.62
Ta 0.0000 0.5000 0.5000  2 Se 2.62


Computed, not measured: a relaxed structure of Tb2P4Ir3 at the PBE level of DFT.

Fermi-level density of states: 3.73 states/eV/f.u.
energy of formation from the pure elements: -75 kJ per mole of atoms

Lattice parameters (Å, degrees): 5.6186 5.6186 6.4423 101.94 101.94 121.70
With the nearest neighbours (Å) after each atom.
Fractional positions:
Tb 0.6439 0.6439 0.2878  2 P 2.82
Tb 0.3561 0.3561 0.7122  2 P 2.82
P 0.0049 0.6839 0.6888  3 Ir 2.40-2.44
P 0.6839 0.0049 0.6888  3 Ir 2.40-2.44
P 0.9951 0.3161 0.3112  3 Ir 2.40-2.44
P 0.3161 0.9951 0.3112  3 Ir 2.40-2.44
Ir 0.5000 0.0000 0.0000  4 P 2.44
Ir 0.0000 0.0000 0.0000  4 P 2.40
Ir 0.0000 0.5000 0.0000  4 P 2.44


Computed, not measured: a relaxed structure of Na3Tm2GaO6 at the PBE level of DFT.

E_form (uncorrected): -2.468 eV/atom
Fermi-level density of states: 0.00 states/eV/f.u.

Lattice parameters (Å, degrees): 5.6402 5.6402 5.8416 99.11 99.11 120.08
With the nearest neighbours (Å) after each atom.
Fractional positions:
Na 0.1580 0.8420 0.5000  6 O 2.41-2.63
Na 0.8420 0.1580 0.5000  6 O 2.41-2.63
Na 0.5000 0.5000 0.5000  6 O 2.45-2.57
Tm 0.3328 0.6672 0.0000  6 O 2.25
Tm 0.6672 0.3328 0.0000  6 O 2.25
Ga 0.0000 0.0000 0.0000  6 O 2.09-2.11
O 0.9317 0.6172 0.7926  1 Ga 2.11, 2 Tm 2.25
O 0.7538 0.7538 0.2032  1 Ga 2.09, 2 Tm 2.25
O 0.0683 0.3828 0.2074  1 Ga 2.11, 2 Tm 2.25
O 0.6172 0.9317 0.7926  1 Ga 2.11, 2 Tm 2.25
O 0.2462 0.2462 0.7968  1 Ga 2.09, 2 Tm 2.25
O 0.3828 0.0683 0.2074  1 Ga 2.11, 2 Tm 2.25


Computed, not measured: a relaxed structure of AlCd2TcS at the PBE level of DFT.

E_form (uncorrected): 0.405 eV/atom
Fermi-level density of states: 1.89 states/eV/f.u.

Lattice parameters (Å, degrees): 5.3692 4.3533 5.3692 90.00 90.00 90.00
With the nearest neighbours (Å) after each atom.
Fractional positions:
S 0.0000 0.5000 0.0000  2 Tc 2.18
Al 0.5000 0.5000 0.5000  8 Cd 3.46, 4 S 3.80
Tc 0.0000 0.0000 0.0000  2 S 2.18
Cd 0.0000 0.0000 0.5000  2 Tc 2.68
Cd 0.5000 0.0000 0.0000  2 Tc 2.68


Computed, not measured: a relaxed structure of LiTbTe4Pb2 at the PBE level of DFT.

E_form (uncorrected): -0.809 eV/atom

Lattice parameters (Å, degrees): 4.4946 7.7283 7.8522 108.86 90.00 90.00
With the nearest neighbours (Å) after each atom.
Fractional positions:
Li 0.5000 0.5000 0.0000  6 Te 3.07-3.11
Tb 0.0000 0.0000 0.0000  6 Te 3.08-3.12
Te 0.5000 0.2465 0.2309  1 Li 3.07, 2 Tb 3.12, 3 Pb 3.27
Te 0.5000 0.7535 0.7691  1 Li 3.07, 2 Tb 3.12, 3 Pb 3.27
Te 0.0000 0.2565 0.7703  1 Tb 3.08, 2 Li 3.11, 3 Pb 3.26-3.28
Te 0.0000 0.7435 0.2297  1 Tb 3.08, 2 Li 3.11, 3 Pb 3.26-3.28
Pb 0.5000 0.0000 0.5000  6 Te 3.27-3.28
Pb 0.0000 0.5000 0.5000  6 Te 3.26-3.27


Computed, not measured: a relaxed structure of MgAgPd at the PBE level of DFT.

Fermi-level density of states: 0.61 states/eV/f.u.
distance to the lowest polymorph of the same formula: 0.1769 eV per atom
energy of formation from the pure elements: -23 kJ per mole of atoms

Lattice parameters (Å, degrees): 6.3622 4.3652 3.0431 90.00 89.99 46.33
With the nearest neighbours (Å) after each atom.
Fractional positions:
Mg 0.0000 0.5000 0.0000  4 Pd 2.66
Ag 0.5000 0.5000 0.0000  4 Pd 2.76, 2 Ag 3.04
Pd 0.0000 0.0000 0.5000  4 Mg 2.66, 4 Ag 2.76


Computed, not measured: a relaxed structure of Nd6DyHo3 at the PBE level of DFT.

Fermi-level density of states: 14.95 states/eV/f.u.
distance to the lowest polymorph of the same formula: 0.0760 eV per atom
energy of formation from the pure elements: 21 kJ per mole of atoms

Lattice parameters (Å, degrees): 5.5335 10.3107 12.6416 90.00 104.37 90.00
With the nearest neighbours (Å) after each atom.
Fractional positions:
Nd 0.4349 0.8283 0.8548  4 Ho 3.44-3.82, 5 Nd 3.53-3.82, 2 Dy 3.67-3.81
Nd 0.4983 0.8159 0.5045  1 Dy 3.26, 4 Ho 3.34-3.61, 3 Nd 3.55-3.61
Nd 0.3387 0.4960 0.2310  2 Ho 3.26-3.51, 1 Dy 3.29, 3 Nd 3.53-3.61
Nd 0.6613 0.5040 0.7690  2 Ho 3.26-3.51, 1 Dy 3.29, 3 Nd 3.53-3.61
Nd 0.5017 0.1841 0.4955  1 Dy 3.26, 4 Ho 3.34-3.61, 3 Nd 3.55-3.61
Nd 0.5651 0.1717 0.1452  4 Ho 3.44-3.82, 5 Nd 3.53-3.82, 2 Dy 3.67-3.81
Nd 0.9349 0.6717 0.3548  4 Ho 3.44-3.82, 5 Nd 3.53-3.82, 2 Dy 3.67-3.81
Nd 0.9983 0.6841 0.0045  1 Dy 3.26, 4 Ho 3.34-3.61, 3 Nd 3.55-3.61
Nd 0.8387 0.0040 0.7310  2 Ho 3.26-3.51, 1 Dy 3.29, 3 Nd 3.53-3.61
Nd 0.1613 0.9960 0.2690  2 Ho 3.26-3.51, 1 Dy 3.29, 3 Nd 3.53-3.61
Nd 0.0017 0.3159 0.9955  1 Dy 3.26, 4 Ho 3.34-3.61, 3 Nd 3.55-3.61
Nd 0.0651 0.3283 0.6452  4 Ho 3.44-3.82, 5 Nd 3.53-3.82, 2 Dy 3.67-3.81
Dy 0.5000 0.5000 0.5000  4 Nd 3.26-3.29, 2 Ho 3.58
Dy 0.0000 0.0000 0.0000  4 Nd 3.26-3.29, 2 Ho 3.58
Ho 0.4433 0.1684 0.8646  7 Nd 3.44-3.76, 2 Dy 3.58-3.75, 1 Ho 3.80
Ho 0.5000 0.5000 0.0000  6 Nd 3.26-3.37
Ho 0.5567 0.8316 0.1354  7 Nd 3.44-3.76, 2 Dy 3.58-3.75, 1 Ho 3.80
Ho 0.9433 0.3316 0.3646  7 Nd 3.44-3.76, 2 Dy 3.58-3.75, 1 Ho 3.80
Ho 0.0000 0.0000 0.5000  6 Nd 3.26-3.37
Ho 0.0567 0.6684 0.6354  7 Nd 3.44-3.76, 2 Dy 3.58-3.75, 1 Ho 3.80


Computed, not measured: a relaxed structure of Zn2RhW at the PBE level of DFT.

Fermi-level density of states: 3.59 states/eV/f.u.
distance to the lowest polymorph of the same formula: 0.2819 eV per atom
energy of formation from the pure elements: 17 kJ per mole of atoms

Lattice parameters (Å, degrees): 4.0370 3.8137 3.8137 90.00 90.00 90.00
With the nearest neighbours (Å) after each atom.
Fractional positions:
Rh 0.5000 0.5000 0.0000  4 W 2.70, 8 Zn 2.78
W 0.5000 0.0000 0.5000  4 Rh 2.70, 8 Zn 2.78
Zn 0.0000 0.0000 0.0000  4 Zn 2.70, 4 W 2.78, 4 Rh 2.78
Zn 0.0000 0.5000 0.5000  4 Zn 2.70, 4 W 2.78, 4 Rh 2.78


Computed, not measured: a relaxed structure of CdHg2Te at the PBE level of DFT.

E_form (uncorrected): 0.108 eV/atom
Fermi-level density of states: 2.22 states/eV/f.u.
distance to the lowest polymorph of the same formula: 0.2039 eV per atom

Lattice parameters (Å, degrees): 5.3469 5.3469 5.3469 60.00 60.00 60.00
With the nearest neighbours (Å) after each atom.
Fractional positions:
Te 0.5000 0.5000 0.5000  8 Hg 3.27
Hg 0.2500 0.2500 0.2500  4 Cd 3.27, 4 Te 3.27
Hg 0.7500 0.7500 0.7500  4 Te 3.27, 4 Cd 3.27
Cd 0.0000 0.0000 0.0000  8 Hg 3.27


Computed, not measured: a relaxed structure of ReTc2Ir at the PBE level of DFT.

Fermi-level density of states: 3.98 states/eV/f.u.
distance to the lowest polymorph of the same formula: 0.0765 eV per atom
energy of formation from the pure elements: -10 kJ per mole of atoms

Lattice parameters (Å, degrees): 3.8785 3.8781 3.8853 90.00 90.00 90.00
With the nearest neighbours (Å) after each atom.
Fractional positions:
Ir 0.5000 0.0000 0.5000  4 Re 2.74, 8 Tc 2.74
Re 0.0000 0.5000 0.5000  4 Ir 2.74, 8 Tc 2.74
Tc 0.0000 0.0000 0.0000  4 Tc 2.74, 4 Re 2.74, 4 Ir 2.74
Tc 0.5000 0.5000 0.0000  4 Tc 2.74, 4 Ir 2.74, 4 Re 2.74


Computed, not measured: a relaxed structure of Nd6Si2Rh at the PBE level of DFT.

E_form (uncorrected): -0.412 eV/atom
Fermi-level density of states: 10.59 states/eV/f.u.

Lattice parameters (Å, degrees): 6.3675 8.1487 10.0670 90.00 90.51 90.00
With the nearest neighbours (Å) after each atom.
Fractional positions:
Nd 0.8711 0.9641 0.2414  1 Rh 2.74
Nd 0.8535 0.6732 0.5577  1 Rh 2.88, 2 Si 3.08-3.16
Nd 0.8666 0.6757 0.9367  1 Rh 2.82, 2 Si 3.08-3.11
Nd 0.6334 0.1757 0.5633  1 Rh 2.82, 2 Si 3.08-3.11
Nd 0.6465 0.1732 0.9423  1 Rh 2.88, 2 Si 3.08-3.16
Nd 0.6289 0.4641 0.2586  1 Rh 2.74
Nd 0.1289 0.0359 0.7586  1 Rh 2.74
Nd 0.1465 0.3268 0.4423  1 Rh 2.88, 2 Si 3.08-3.16
Nd 0.1334 0.3243 0.0633  1 Rh 2.82, 2 Si 3.08-3.11
Nd 0.3666 0.8243 0.4367  1 Rh 2.82, 2 Si 3.08-3.11
Nd 0.3535 0.8268 0.0577  1 Rh 2.88, 2 Si 3.08-3.16
Nd 0.3711 0.5359 0.7414  1 Rh 2.74
Si 0.9253 0.3823 0.7473  7 Nd 3.08-3.42
Si 0.5747 0.8823 0.7527  7 Nd 3.08-3.42
Si 0.4253 0.1177 0.2473  7 Nd 3.08-3.42
Si 0.0747 0.6177 0.2527  7 Nd 3.08-3.42
Rh 0.5000 0.5000 0.0000  6 Nd 2.74-2.88
Rh 0.0000 0.0000 0.5000  6 Nd 2.74-2.88


Computed, not measured: a relaxed structure of SrBr at the PBE level of DFT.

E_form (uncorrected): -1.266 eV/atom
Fermi-level density of states: 1.30 states/eV/f.u.

Lattice parameters (Å, degrees): 8.6033 8.6033 8.6033 149.81 149.81 43.22
With the nearest neighbours (Å) after each atom.
Fractional positions:
Sr 0.5000 0.5000 0.0000  4 Br 3.17
Sr 0.7500 0.2500 0.5000  4 Br 3.17
Br 0.0000 0.0000 0.0000  4 Sr 3.17
Br 0.2500 0.7500 0.5000  4 Sr 3.17


| no. | total magnetic moment (μB per formula unit) |
| --- | --- |
| 1 | 0.0 |
| 2 | 0.0 |
| 3 | 0.0 |
| 4 | 0.0 |
| 5 | 0.0 |
| 6 | 0.0 |
| 7 | 0.0 |
| 8 | 0.0 |
| 9 | 0.0 |
| 10 | 0.0 |
| 11 | 0.0 |
| 12 | 0.0 |
| 13 | 0.0 |
| 14 | 0.0 |
| 15 | 0.0 |
| 16 | 0.0 |
| 17 | 0.0 |
| 18 | 0.0 |
| 19 | 0.0 |
| 20 | 0.4 |